A plane-wave DFT calculation with PBE was carried out for MgZrO3 after structural relaxation.

Unit cell a=5.427 b=10.719 c=5.466 alpha=90.00 beta=90.00 gamma=90.00
Space group Cmc2_1 (No. 36)
Unique sites:
Mg (0.000, 0.069, 0.000) (multiplicity 4)
Zr (0.000, 0.419, 0.001) (multiplicity 4)
O (0.000, 0.244, 0.005) (multiplicity 4)
O (0.250, 0.000, 0.250) (multiplicity 8)

Properties
total energy	-7.964	eV/atom
V	15.9	Å³ per atom

=====

A plane-wave DFT calculation with PBE was carried out for MgZrO3 after structural relaxation.

Unit cell a=5.485 b=7.855 c=5.348 alpha=90.00 beta=90.00 gamma=90.00
Space group Pnma (No. 62)
Unique sites:
Mg (0.036, 0.250, 0.007) (multiplicity 4)
Zr (0.000, 0.000, 0.500) (multiplicity 4)
O (0.090, 0.750, 0.634) (multiplicity 4)
O (0.171, 0.572, 0.166) (multiplicity 8)

Properties
total energy	-7.972	eV/atom
V	11.5	Å³ per atom

=====

A plane-wave DFT calculation with PBE was carried out for MgPaOs after structural relaxation.

Unit cell a=6.574 b=6.574 c=6.574 alpha=90.00 beta=90.00 gamma=90.00
Space group F-43m (No. 216)
Unique sites:
Mg (0.000, 0.000, 0.000) (multiplicity 4)
Pa (0.250, 0.250, 0.250) (multiplicity 4)
Os (0.000, 0.000, 0.500) (multiplicity 4)

Properties
total energy	-6.571	eV/atom
ΔE to the lowest computed polymorph	792	meV per atom
V	23.7	Å³ per atom